Material: Tl2In6Pb5
Method: DFT, PBE
State: optimized geometry Values from VASP.

## Properties
magnetic moment: 0.0000 μB per atom
formation energy: 44 meV/atom
energy: -78.26 eV/cell

Geometry as Quantum ESPRESSO input:
```
&SYSTEM
  ibrav = 0, nat = 26, ntyp = 3
/
ATOMIC_SPECIES
Tl 204.38 Tl.upf
In 114.82 In.upf
Pb 207.20 Pb.upf
ATOMIC_POSITIONS crystal
Tl 0.205 0.172 0.243
Tl 0.205 0.328 0.743
Tl 0.795 0.672 0.257
Tl 0.795 0.828 0.757
In 0.033 0.144 0.504
In 0.033 0.356 0.004
In 0.095 0.088 0.934
In 0.095 0.412 0.434
In 0.295 0.668 0.766
In 0.295 0.832 0.266
In 0.705 0.168 0.734
In 0.705 0.332 0.234
In 0.905 0.588 0.566
In 0.905 0.912 0.066
In 0.967 0.644 0.996
In 0.967 0.856 0.496
Pb 0.291 0.519 0.236
Pb 0.291 0.981 0.736
Pb 0.408 0.672 0.506
Pb 0.408 0.828 0.006
Pb 0.500 0.000 0.500
Pb 0.500 0.500 0.000
Pb 0.592 0.172 0.994
Pb 0.592 0.328 0.494
Pb 0.709 0.019 0.264
Pb 0.709 0.481 0.764
CELL_PARAMETERS angstrom
6.349 0.000 0.000
0.000 10.763 0.000
-3.408 0.000 11.557
```